--- i ---
{"formula": "TbCeGaOs", "functional": "PBE-GGA", "state": "relaxed", "space_group": "Amm2 (38)", "magmom_total_mub_per_cell": 0.0, "lattice_angstrom": [[-2.3612, -3.0218, 1.5181], [1.8914, 0.2153, 3.3705], [-2.5948, 5.4005, 1.1112]], "species": ["Tb", "Ce", "Ga", "Os"], "frac_coords": [[0.8517, 0.5000, 0.7035], [0.1303, 0.0000, 0.2606], [0.4305, 0.0000, 0.8610], [0.5875, 0.5000, 0.1750]]}

***

--- ii ---
{"formula": "TbCeGaOs", "functional": "PBE-GGA", "state": "relaxed", "space_group": "F-43m (216)", "magmom_total_mub_per_cell": 0.0, "lattice_angstrom": [[-1.9310, -3.7177, -2.6937], [0.3307, -4.6929, 1.6353], [-4.0772, -2.3744, 1.5953]], "species": ["Tb", "Os", "Ga", "Ce"], "frac_coords": [[0.5000, 0.5000, 0.5000], [0.7500, 0.7500, 0.7500], [0.2500, 0.2500, 0.2500], [0.0000, 0.0000, 0.0000]]}

***

Q: Which of them is the most stable? A: i.

***

--- i ---
{"formula": "CeGaP2", "functional": "PBE-GGA", "state": "relaxed", "space_group": "P4/mmm (123)", "magmom_total_mub_per_cell": 0.0, "lattice_angstrom": [[3.7500, 0.0000, 0.0000], [0.0000, 4.4378, 0.0000], [0.0000, 0.0000, 4.4378]], "species": ["P", "P", "Ga", "Ce"], "frac_coords": [[0.0000, 0.0000, 0.5000], [0.0000, 0.5000, 0.0000], [0.5000, 0.5000, 0.5000], [0.5000, 0.0000, 0.0000]]}

***

--- ii ---
{"formula": "CeGaP2", "functional": "PBE-GGA", "state": "relaxed", "space_group": "R-3m (166)", "magmom_total_mub_per_cell": 0.9, "lattice_angstrom": [[-3.0694, 1.6070, 0.0656], [-2.9075, -1.8350, 0.4328], [-1.3152, 0.8682, 8.7186]], "species": ["P", "P", "Ga", "Ce"], "frac_coords": [[0.1082, 0.1082, 0.6754], [0.8918, 0.8918, 0.3246], [0.5000, 0.5000, 0.5000], [0.0000, 0.0000, 0.0000]]}

***

Q: Which of them is the most stable? A: i.

***

--- i ---
{"formula": "Ce2GaP", "functional": "PBE-GGA", "state": "relaxed", "space_group": "R3m (160)", "magmom_total_mub_per_cell": 1.5, "lattice_angstrom": [[3.9103, 0.0000, 0.0000], [1.9551, 3.3864, 0.0000], [1.9551, 1.1288, 7.8916]], "species": ["Ce", "Ce", "Ga", "P"], "frac_coords": [[0.0717, 0.0717, 0.7849], [0.2616, 0.2616, 0.2153], [0.4996, 0.4996, 0.5011], [0.6671, 0.6671, 0.9987]]}

***

--- ii ---
{"formula": "Ce2GaP", "functional": "PBE-GGA", "state": "relaxed", "space_group": "R-3m (166)", "magmom_total_mub_per_cell": 2.2, "lattice_angstrom": [[-2.5831, -2.1072, 1.6896], [0.4645, -3.7014, 0.2272], [3.9413, -0.8324, 9.1210]], "species": ["P", "Ga", "Ce", "Ce"], "frac_coords": [[0.5000, 0.5000, 0.5000], [0.0000, 0.0000, 0.0000], [0.1074, 0.1074, 0.6777], [0.8926, 0.8926, 0.3223]]}

***

Q: Which of them is the most stable? A: i.

***

--- i ---
{"formula": "Ce2PaGa", "functional": "PBE-GGA", "state": "relaxed", "space_group": "R-3m (166)", "magmom_total_mub_per_cell": 0.0, "lattice_angstrom": [[3.0884, 0.0000, 0.0000], [1.5442, 2.6747, 0.0000], [1.5442, 0.8916, 11.2887]], "species": ["Pa", "Ga", "Ce", "Ce"], "frac_coords": [[0.0000, 0.0000, 0.0000], [0.5000, 0.5000, 0.5000], [0.0892, 0.0892, 0.7324], [0.9108, 0.9108, 0.2676]]}

***

--- ii ---
{"formula": "Ce2PaGa", "functional": "PBE-GGA", "state": "relaxed", "space_group": "Fm-3m (225)", "magmom_total_mub_per_cell": 3.1, "lattice_angstrom": [[5.1691, 0.0000, 0.0000], [2.5845, 4.4766, 0.0000], [2.5845, 1.4922, 4.2205]], "species": ["Pa", "Ga", "Ce", "Ce"], "frac_coords": [[0.0000, 0.0000, 0.0000], [0.5000, 0.5000, 0.5000], [0.2500, 0.2500, 0.2500], [0.7500, 0.7500, 0.7500]]}

***

Q: Which of them is the most stable? A: i.

***

--- i ---
{"formula": "Ce2PaGa", "functional": "PBE-GGA", "state": "relaxed", "space_group": "P4/mmm (123)", "magmom_total_mub_per_cell": 1.0, "lattice_angstrom": [[-3.6856, -2.3510, -1.3439], [2.7024, -3.0471, -2.0805], [0.1741, -2.4707, 3.8447]], "species": ["Pa", "Ga", "Ce", "Ce"], "frac_coords": [[0.5000, 0.5000, 0.5000], [0.5000, 0.0000, 0.0000], [0.0000, 0.0000, 0.5000], [0.0000, 0.5000, 0.0000]]}

***

--- ii ---
{"formula": "Ce2PaGa", "functional": "PBE-GGA", "state": "relaxed", "space_group": "P4/mmm (123)", "magmom_total_mub_per_cell": 0.0, "lattice_angstrom": [[3.1528, 0.0000, 0.0000], [0.0000, 3.1528, 0.0000], [0.0000, 0.0000, 9.6011]], "species": ["Pa", "Ga", "Ce", "Ce"], "frac_coords": [[0.5000, 0.5000, 0.5000], [0.5000, 0.5000, 0.0000], [0.0000, 0.0000, 0.7645], [0.0000, 0.0000, 0.2355]]}

***

Q: Which of them is the most stable? A: ii.

***

--- i ---
{"formula": "CePa2Ga", "functional": "PBE-GGA", "state": "relaxed", "space_group": "P4/mmm (123)", "magmom_total_mub_per_cell": 0.0, "lattice_angstrom": [[4.6458, 0.0000, 0.0000], [0.0000, 4.4869, 0.0000], [0.0000, 0.0000, 4.4869]], "species": ["Pa", "Pa", "Ga", "Ce"], "frac_coords": [[0.0000, 0.0000, 0.5000], [0.0000, 0.5000, 0.0000], [0.5000, 0.0000, 0.0000], [0.5000, 0.5000, 0.5000]]}

***

--- ii ---
{"formula": "CePa2Ga", "functional": "PBE-GGA", "state": "relaxed", "space_group": "R-3m (166)", "magmom_total_mub_per_cell": 0.0, "lattice_angstrom": [[3.0927, 0.0000, 0.0000], [1.5464, 2.6784, 0.0000], [1.5464, 0.8928, 11.1610]], "species": ["Pa", "Pa", "Ga", "Ce"], "frac_coords": [[0.0893, 0.0893, 0.7322], [0.9107, 0.9107, 0.2678], [0.5000, 0.5000, 0.5000], [0.0000, 0.0000, 0.0000]]}

***

--- iii ---
{"formula": "CePa2Ga", "functional": "PBE-GGA", "state": "relaxed", "space_group": "P4/mmm (123)", "magmom_total_mub_per_cell": 1.3, "lattice_angstrom": [[3.8275, 0.0000, 0.0000], [0.0000, 3.8275, 0.0000], [0.0000, 0.0000, 6.5510]], "species": ["Pa", "Pa", "Ga", "Ce"], "frac_coords": [[0.0000, 0.0000, 0.7735], [0.0000, 0.0000, 0.2265], [0.5000, 0.5000, 0.0000], [0.5000, 0.5000, 0.5000]]}

***

Q: Which of them is the most stable? A: i.